Tb3Er2Tm3 | PBE | relaxed

Properties
- Formation energy: 152 meV/atom
- Total DFT energy (no corrections): -35.2 eV for the cell shown

Cell lengths 6.367, 6.367, 6.367 Å; angles 84.31, 84.31, 95.69 degrees
Element x y z (fractional)
Tb1 0.311 0.689 0.000
Tb2 0.000 0.311 0.311
Tb3 0.689 0.000 0.689
Er1 0.198 0.198 0.802
Er2 0.802 0.802 0.198
Tm1 0.213 0.787 0.500
Tm2 0.500 0.213 0.213
Tm3 0.787 0.500 0.787